First-principles (PBE-GGA) data for Ca2Co after structural relaxation, as listed in the Alexandria database.

Properties
* ΔH_f (0 K): 0.367 eV/atom
* Fermi-level density of states: 6.099 states/eV/f.u.

Cell: 6.954 6.954 6.954 Å, 90.00 90.00 90.00°
Space group Pa-3 (No. 205)
Inequivalent atoms, fractional coordinates:
1 Ca 0.159 0.159 0.159 [8 per cell]
2 Co 0.000 0.000 0.500 [4 per cell]

---

First-principles (PBE-GGA) data for DyZn12 after structural relaxation, as listed in the Alexandria database.

Properties
* ΔH_f (0 K): -0.171 eV/atom
* Fermi-level density of states: 3.158 states/eV/f.u.

Cell: 8.808 8.808 5.286 Å, 90.00 90.00 90.00°
Space group I4/mmm (No. 139)
Inequivalent atoms, fractional coordinates:
1 Dy 0.000 0.000 0.000 [2 per cell]
2 Zn 0.000 0.217 0.500 [8 per cell]
3 Zn 0.000 0.353 0.000 [8 per cell]
4 Zn 0.250 0.250 0.250 [8 per cell]

---

First-principles (PBE-GGA) data for LiCeIn2I6 after structural relaxation, as listed in the Alexandria database.

Properties
* calculated total energy: -96.1 eV for the cell shown
* Fermi-level density of states: 8.147 states/eV/f.u.

Cell: 8.3859 8.3859 21.2945 Å, 90.00 90.00 120.00°
Space group R3 (No. 146, hexagonal axes)
Inequivalent atoms, fractional coordinates:
1 Li 0.0000 0.0000 0.0000 [3 per cell]
2 Ce 0.0000 0.0000 0.5051 [3 per cell]
3 In 0.0000 0.0000 0.2059 [3 per cell]
4 In 0.0000 0.0000 0.7099 [3 per cell]
5 I 0.0057 0.6016 0.2621 [9 per cell]
6 I 0.0123 0.4113 0.7585 [9 per cell]

---

First-principles (PBE-GGA) data for SmCd4Hg7 after structural relaxation, as listed in the Alexandria database.

Properties
* ΔH_f (0 K): -0.042 eV/atom
* Fermi-level density of states: 6.088 states/eV/f.u.

Cell: 12.497 6.218 9.477 Å, 90.00 121.22 90.00°
Space group C2/m (No. 12)
Inequivalent atoms, fractional coordinates:
1 Sm 0.000 0.000 0.000 [2 per cell]
2 Cd 0.001 0.500 0.329 [4 per cell]
3 Cd 0.247 0.500 0.326 [4 per cell]
4 Hg 0.000 0.500 0.000 [2 per cell]
5 Hg 0.004 0.000 0.342 [4 per cell]
6 Hg 0.238 0.500 0.655 [4 per cell]
7 Hg 0.248 0.500 0.001 [4 per cell]

---

First-principles (PBE-GGA) data for CaLaTm2Te4 after structural relaxation, as listed in the Alexandria database.

Properties
* calculated total energy: -39.6 eV for the cell shown
* Fermi-level density of states: 4.014 states/eV/f.u.

Cell: 7.666 4.388 7.686 Å, 90.00 109.02 90.00°
Space group P2/m (No. 10)
Inequivalent atoms, fractional coordinates:
1 Ca 0.000 0.000 0.000 [1 per cell]
2 La 0.000 0.500 0.500 [1 per cell]
3 Tm 0.500 0.000 0.500 [1 per cell]
4 Tm 0.500 0.500 0.000 [1 per cell]
5 Te 0.264 0.500 0.250 [2 per cell]
6 Te 0.267 0.000 0.761 [2 per cell]

---

First-principles (PBE-GGA) data for Dy4Co2I5 after structural relaxation, as listed in the Alexandria database.

Properties
* calculated total energy: -97.1 eV for the cell shown
* Fermi-level density of states: 4.293 states/eV/f.u.

Cell: 22.528 4.063 8.500 Å, 90.00 95.47 90.00°
Space group C2/m (No. 12)
Inequivalent atoms, fractional coordinates:
1 Dy 0.026 0.000 0.199 [4 per cell]
2 Dy 0.156 0.500 0.072 [4 per cell]
3 Co 0.048 0.500 0.002 [4 per cell]
4 I 0.000 0.500 0.500 [2 per cell]
5 I 0.161 0.000 0.348 [4 per cell]
6 I 0.194 0.000 0.828 [4 per cell]

---

First-principles (PBE-GGA) data for PrNdPtRh after structural relaxation, as listed in the Alexandria database.

Properties
* ΔH_f (0 K): -0.911 eV/atom
* Fermi-level density of states: 2.330 states/eV/f.u.

Cell: 4.452 3.940 10.932 Å, 90.00 90.00 90.00°
Space group Amm2 (No. 38)
Inequivalent atoms, fractional coordinates:
1 Pr 0.000 0.000 0.000 [2 per cell]
2 Nd 0.500 0.000 0.721 [2 per cell]
3 Pt 0.500 0.000 0.443 [2 per cell]
4 Rh 0.000 0.000 0.269 [2 per cell]

---

First-principles (PBE-GGA) data for Sm2Ga3Cu12Ag after structural relaxation, as listed in the Alexandria database.

Properties
* ΔH_f (0 K): 0.265 eV/atom
* Fermi-level density of states: 5.943 states/eV/f.u.

Cell: 8.4792 8.4792 15.7743 Å, 90.00 90.00 120.00°
Space group R-3m (No. 166, hexagonal axes)
Inequivalent atoms, fractional coordinates:
1 Sm 0.0000 0.0000 0.1015 [6 per cell]
2 Ga 0.0000 0.5000 0.0000 [9 per cell]
3 Cu 0.0035 0.5017 0.8453 [18 per cell]
4 Cu 0.0655 0.5328 0.4199 [18 per cell]
5 Ag 0.0000 0.0000 0.5000 [3 per cell]

---

First-principles (PBE-GGA) data for Nb2InTc after structural relaxation, as listed in the Alexandria database.

Properties
* ΔH_f (0 K): 0.128 eV/atom
* Fermi-level density of states: 3.331 states/eV/f.u.

Cell: 3.1260 3.1260 26.5998 Å, 90.00 90.00 120.00°
Space group R-3m (No. 166, hexagonal axes)
Inequivalent atoms, fractional coordinates:
1 Nb 0.0000 0.0000 0.2399 [6 per cell]
2 In 0.0000 0.0000 0.0000 [3 per cell]
3 Tc 0.0000 0.0000 0.5000 [3 per cell]

---

First-principles (PBE-GGA) data for Pr2NdDyTl2 after structural relaxation, as listed in the Alexandria database.

Properties
* ΔH_f (0 K): -0.271 eV/atom
* Fermi-level density of states: 6.853 states/eV/f.u.

Cell: 5.235 10.298 6.983 Å, 90.00 90.00 90.00°
Space group Pmc2_1 (No. 26)
Inequivalent atoms, fractional coordinates:
1 Pr 0.000 0.047 0.000 [2 per cell]
2 Pr 0.500 0.183 0.273 [2 per cell]
3 Nd 0.500 0.456 0.902 [2 per cell]
4 Dy 0.000 0.313 0.621 [2 per cell]
5 Tl 0.000 0.374 0.164 [2 per cell]
6 Tl 0.500 0.144 0.739 [2 per cell]

---

First-principles (PBE-GGA) data for PrNd2Bi after structural relaxation, as listed in the Alexandria database.

Properties
* ΔH_f (0 K): -0.380 eV/atom
* Fermi-level density of states: 6.678 states/eV/f.u.

Cell: 4.210 4.210 7.469 Å, 90.00 90.00 90.00°
Space group P4/mmm (No. 123)
Inequivalent atoms, fractional coordinates:
1 Pr 0.000 0.000 0.000 [1 per cell]
2 Nd 0.500 0.500 0.279 [2 per cell]
3 Bi 0.000 0.000 0.500 [1 per cell]

---

First-principles (PBE-GGA) data for SrPr3Rh8 after structural relaxation, as listed in the Alexandria database.

Properties
* ΔH_f (0 K): -0.549 eV/atom
* Fermi-level density of states: 9.784 states/eV/f.u.

Cell: 5.4411 5.4411 26.7725 Å, 90.00 90.00 120.00°
Space group R3m (No. 160, hexagonal axes)
Inequivalent atoms, fractional coordinates:
1 Sr 0.0000 0.0000 0.0000 [3 per cell]
2 Pr 0.0000 0.0000 0.1242 [3 per cell]
3 Pr 0.0000 0.0000 0.5010 [3 per cell]
4 Pr 0.0000 0.0000 0.6270 [3 per cell]
5 Rh 0.0000 0.0000 0.3129 [3 per cell]
6 Rh 0.0000 0.0000 0.8131 [3 per cell]
7 Rh 0.0011 0.5005 0.0640 [9 per cell]
8 Rh 0.1674 0.3349 0.8955 [9 per cell]

---

Which formula does entry 5 have? CaLaTm2Te4

---

Among the records above, which one has the lowest Fermi-level density of states? PrNdPtRh